i:
VASP calculation (PBE) on crystalline Na2ZnHg4 at its relaxed geometry.

Cell lengths 5.295, 5.295, 15.459 Å; angles 90.00, 90.00, 90.00 degrees
Space group I4/mmm (No. 139)
Symmetry-distinct sites (fractional):
Na 0.000 0.000 0.123 (multiplicity 4)
Zn 0.000 0.000 0.500 (multiplicity 2)
Hg 0.000 0.000 0.318 (multiplicity 4)
Hg 0.000 0.500 0.000 (multiplicity 4)

Values from the calculation:
D(E_F) ... 0.616 states/eV/atom

=====

ii:
VASP calculation (PBE) on crystalline Na2ZnHg4 at its relaxed geometry.

Cell lengths 4.290, 23.577, 3.529 Å; angles 90.00, 90.00, 90.00 degrees
Space group Cmmm (No. 65)
Symmetry-distinct sites (fractional):
Na 0.000 0.196 0.000 (multiplicity 4)
Zn 0.000 0.500 0.500 (multiplicity 2)
Hg 0.000 0.062 0.000 (multiplicity 4)
Hg 0.000 0.367 0.500 (multiplicity 4)

Values from the calculation:
D(E_F) ... 0.252 states/eV/atom

=====

Which structure is most stable? ii, by 1.5 kJ/mol of atoms over the runner-up.

=====

i:
VASP calculation (PBE) on crystalline Na2ZnHg2 at its relaxed geometry.

Cell lengths 4.228, 4.228, 16.511 Å; angles 90.00, 90.00, 90.00 degrees
Space group I4/mmm (No. 139)
Symmetry-distinct sites (fractional):
Na 0.000 0.000 0.101 (multiplicity 4)
Zn 0.000 0.000 0.500 (multiplicity 2)
Hg 0.000 0.500 0.250 (multiplicity 4)

Values from the calculation:
D(E_F) ... 0.279 states/eV/atom

=====

ii:
VASP calculation (PBE) on crystalline Na2ZnHg2 at its relaxed geometry.

Cell lengths 4.448, 4.448, 14.124 Å; angles 90.00, 90.00, 90.00 degrees
Space group I4/mmm (No. 139)
Symmetry-distinct sites (fractional):
Na 0.000 0.500 0.250 (multiplicity 4)
Zn 0.000 0.000 0.000 (multiplicity 2)
Hg 0.000 0.000 0.400 (multiplicity 4)

Values from the calculation:
D(E_F) ... 0.454 states/eV/atom

=====

Which structure is most stable? i, by 4.5 kJ/mol of atoms over the runner-up.

=====

i:
VASP calculation (PBE) on crystalline Na2Zr2Hg at its relaxed geometry.

Cell lengths 9.451, 9.451, 3.044 Å; angles 90.00, 90.00, 90.00 degrees
Space group P4/mbm (No. 127)
Symmetry-distinct sites (fractional):
Na 0.190 0.310 0.000 (multiplicity 4)
Zr 0.105 0.605 0.500 (multiplicity 4)
Hg 0.000 0.000 0.500 (multiplicity 2)

Values from the calculation:
D(E_F) ... 1.775 states/eV/atom

=====

ii:
VASP calculation (PBE) on crystalline Na2Zr2Hg at its relaxed geometry.

Cell lengths 3.957, 3.957, 16.786 Å; angles 90.00, 90.00, 90.00 degrees
Space group I4/mmm (No. 139)
Symmetry-distinct sites (fractional):
Na 0.000 0.500 0.250 (multiplicity 4)
Zr 0.000 0.000 0.077 (multiplicity 4)
Hg 0.000 0.000 0.500 (multiplicity 2)

Values from the calculation:
D(E_F) ... 1.608 states/eV/atom

=====

Which structure is most stable? ii, by 17.5 kJ/mol of atoms over the runner-up.

=====

i:
VASP calculation (PBE) on crystalline NaZr2Hg2 at its relaxed geometry.

Cell lengths 8.895, 8.895, 3.053 Å; angles 90.00, 90.00, 90.00 degrees
Space group P4/mbm (No. 127)
Symmetry-distinct sites (fractional):
Na 0.000 0.000 0.000 (multiplicity 2)
Zr 0.123 0.377 0.500 (multiplicity 4)
Hg 0.173 0.673 0.000 (multiplicity 4)

Values from the calculation:
D(E_F) ... 1.226 states/eV/atom

=====

ii:
VASP calculation (PBE) on crystalline NaZr2Hg2 at its relaxed geometry.

Cell lengths 8.868, 8.868, 3.061 Å; angles 90.00, 90.00, 90.00 degrees
Space group P4/mbm (No. 127)
Symmetry-distinct sites (fractional):
Na 0.000 0.000 0.000 (multiplicity 2)
Zr 0.121 0.379 0.000 (multiplicity 4)
Hg 0.175 0.675 0.500 (multiplicity 4)

Values from the calculation:
D(E_F) ... 0.896 states/eV/atom

=====

Which structure is most stable? i, by 1.6 kJ/mol of atoms over the runner-up.